(1)
Below is a relaxed structure of RbCa2ZrTc, with properties calculated at the GGA-PBE level.

abc: 5.370 5.193 5.370
angles: 90.00 90.00 90.00
Each line ends with the local moment (μB).
Sites, in units of the cell vectors:
Rb  0.000  0.000  0.000  -0.04
Ca  0.000  0.000  0.500  -0.05
Ca  0.500  0.000  0.000  -0.04
Tc  0.500  0.500  0.500  2.95
Zr  0.000  0.500  0.000  -0.16

Formation energy from the elements (eV per atom): 2.04
Total magnetization (μB/f.u.): 2.80



(2)
Below is a relaxed structure of Ho3Zn9Cu2, with properties calculated at the GGA-PBE level.

abc: 4.326 8.045 8.045
angles: 66.76 74.40 74.40
Sites, in units of the cell vectors:
Ho  0.000  0.000  0.000
Ho  0.702  0.298  0.298
Ho  0.298  0.702  0.702
Zn  0.000  0.500  0.500
Zn  0.659  0.983  0.700
Zn  0.341  0.017  0.300
Zn  0.659  0.700  0.983
Zn  0.341  0.300  0.017
Zn  0.868  0.849  0.415
Zn  0.132  0.151  0.585
Zn  0.868  0.415  0.849
Zn  0.132  0.585  0.151
Cu  0.500  0.319  0.681
Cu  0.500  0.681  0.319

Formation energy from the elements (eV per atom): -0.30
Total magnetization (μB/f.u.): 0.00



Among the records above, which one has the lowest total magnetization? Ho3Zn9Cu2



Which value of formation energy from the elements does entry 1 give? 2.04 eV per atom



Number 1 is which compound? RbCa2ZrTc



Which of these has the highest formation energy from the elements? RbCa2ZrTc